The following is a DFT calculation (GGA-PBE) of AgOsPb2 after structural relaxation.

Computed properties:
Total moment in Bohr magnetons per cell: 0.000
DFT formation energy in eV per atom: 0.607
Fermi-level density of states in states/eV/atom: 0.456
Calculated total energy in eV/atom: -4.77

a = 3.2990 Å, b = 3.2528 Å, c = 8.6724 Å
α = 90.00°, β = 90.87°, γ = 90.00°
Space group P2/m (No. 10)
Unique sites:
Ag (0.0000, 0.0000, 0.0000) x1
Os (0.5000, 0.0000, 0.5000) x1
Pb (0.0089, 0.5000, 0.7023) x2